Density functional theory data (GGA-PBE) for a geometry-optimized NaMg2CoGe structure.

Results
N(E_F) = 1.96 states/eV/cell
Volume = 21.42 A^3/atom
Uncorrected energy = -3.301 eV/atom
Size of the total moment = 0.0 Bohr magnetons per cell

The structure in CIF format:
```
data_NaMg2CoGe
_chemical_formula_sum 'Na1 Mg2 Co1 Ge1'
_cell_length_a 4.896
_cell_length_b 4.896
_cell_length_c 4.467
_cell_angle_alpha 90.00
_cell_angle_beta 90.00
_cell_angle_gamma 90.00
_space_group_name_H-M_alt 'P 4/m m m'
_space_group_IT_number 123
_space_group_name_Hall '-P 4 2'
loop_
_atom_site_label
_atom_site_type_symbol
_atom_site_fract_x
_atom_site_fract_y
_atom_site_fract_z
Na1 Na 0.000 0.000 0.000
Mg1 Mg 0.000 0.500 0.500
Co1 Co 0.500 0.500 0.500
Ge1 Ge 0.500 0.500 0.000
```